1.
BiP2Pd7 | GGA-PBE | optimized geometry

Computed properties:
* space group: Cmmm
* total magnetic moment: 0.00 μB/f.u.
* DFT formation energy: -25.1 kJ per mole of atoms
* total DFT energy (no corrections): -53.7 eV per cell

abc: 4.383 6.918 6.918
angles: 116.18 90.00 90.00
Element x y z (fractional)
Bi 0.000 0.000 0.000
P 0.500 0.693 0.307
P 0.500 0.307 0.693
Pd 0.000 0.753 0.247
Pd 0.000 0.247 0.753
Pd 0.500 0.057 0.322
Pd 0.500 0.943 0.678
Pd 0.500 0.322 0.057
Pd 0.500 0.678 0.943
Pd 0.500 0.500 0.500


2.
Ta2V2Pb | GGA-PBE | optimized geometry

Computed properties:
* space group: P4/mbm
* total magnetic moment: 0.00 μB/f.u.
* DFT formation energy: 58.3 kJ per mole of atoms
* total DFT energy (no corrections): -85.3 eV per cell

abc: 7.732 7.732 3.211
angles: 90.00 90.00 90.00
Element x y z (fractional)
Pb 0.000 0.000 0.000
Pb 0.500 0.500 0.000
Ta 0.365 0.865 0.000
Ta 0.865 0.635 0.000
Ta 0.635 0.135 0.000
Ta 0.135 0.365 0.000
V 0.136 0.636 0.500
V 0.636 0.864 0.500
V 0.864 0.364 0.500
V 0.364 0.136 0.500


3.
BaPmAlS4 | GGA-PBE | optimized geometry

Computed properties:
* space group: P2_1/m
* total magnetic moment: 0.00 μB/f.u.
* total DFT energy (no corrections): -78.8 eV per cell

abc: 6.636 6.724 8.524
angles: 90.00 107.61 90.00
Element x y z (fractional)
Ba 0.737 0.750 0.934
Ba 0.263 0.250 0.066
Pm 0.778 0.750 0.448
Pm 0.222 0.250 0.552
Al 0.232 0.750 0.321
Al 0.768 0.250 0.679
S 0.001 0.504 0.724
S 0.999 0.004 0.276
S 0.999 0.496 0.276
S 0.001 0.996 0.724
S 0.427 0.750 0.148
S 0.573 0.250 0.852
S 0.436 0.750 0.581
S 0.564 0.250 0.419


4.
LiAcMg2 | GGA-PBE | optimized geometry

Computed properties:
* space group: P4/mmm
* total magnetic moment: 0.00 μB/f.u.
* DFT formation energy: 8.5 kJ per mole of atoms
* total DFT energy (no corrections): -8.9 eV per cell

abc: 3.772 5.712 5.712
angles: 90.00 90.00 90.00
Element x y z (fractional)
Ac 0.500 0.500 0.500
Mg 0.000 0.000 0.500
Mg 0.000 0.500 0.000
Li 0.500 0.000 0.000


5.
RbMgBiSe3 | GGA-PBE | optimized geometry

Computed properties:
* space group: P2_1/m
* total magnetic moment: 0.00 μB/f.u.
* total DFT energy (no corrections): -45.1 eV per cell

abc: 4.331 9.692 10.177
angles: 106.98 90.00 90.00
Element x y z (fractional)
Rb 0.750 0.802 0.770
Rb 0.250 0.198 0.230
Mg 0.250 0.090 0.607
Mg 0.750 0.910 0.393
Bi 0.250 0.662 0.131
Bi 0.750 0.338 0.869
Se 0.250 0.811 0.477
Se 0.750 0.872 0.132
Se 0.750 0.452 0.154
Se 0.750 0.189 0.523
Se 0.250 0.548 0.846
Se 0.250 0.128 0.868


6.
Pr2Tm | GGA-PBE | optimized geometry

Computed properties:
* space group: Fmmm
* total magnetic moment: 0.00 μB/f.u.
* DFT formation energy: 9.4 kJ per mole of atoms
* total DFT energy (no corrections): -13.7 eV per cell

abc: 4.258 4.258 6.413
angles: 109.43 109.43 89.90
Element x y z (fractional)
Pr 0.159 0.159 0.318
Pr 0.841 0.841 0.682
Tm 0.500 0.500 0.000


7.
Sm8Tl2In | GGA-PBE | optimized geometry

Computed properties:
* space group: C2/m
* total magnetic moment: 0.00 μB/f.u.
* DFT formation energy: -11.8 kJ per mole of atoms
* total DFT energy (no corrections): -46.6 eV per cell

abc: 5.658 8.816 8.816
angles: 118.89 102.08 102.08
Element x y z (fractional)
Sm 0.901 0.907 0.685
Sm 0.901 0.685 0.907
Sm 0.301 0.600 0.600
Sm 0.500 0.781 0.219
Sm 0.500 0.219 0.781
Sm 0.699 0.400 0.400
Sm 0.099 0.315 0.093
Sm 0.099 0.093 0.315
Tl 0.000 0.306 0.694
Tl 0.000 0.694 0.306
In 0.500 0.000 0.000


8.
MnAs | GGA-PBE | optimized geometry

Computed properties:
* space group: Pm-3m
* total magnetic moment: 0.00 μB/f.u.
* DFT formation energy: 8.0 kJ per mole of atoms
* total DFT energy (no corrections): -27.3 eV per cell

abc: 4.150 4.150 2.938
angles: 90.00 90.00 90.00
Element x y z (fractional)
As 0.250 0.750 0.000
As 0.750 0.250 0.000
Mn 0.250 0.250 0.499
Mn 0.750 0.750 0.501